Arrangement w

The following is a DFT calculation (meta-GGA SCAN) of a crystal of CdPtBr2 relaxed with PBEsol.

a = 3.804 Å, b = 3.703 Å, c = 7.088 Å
α = 90.00°, β = 102.42°, γ = 90.00°
Space group Pm (No. 6)
Asymmetric unit:
1 Cd 0.000 0.000 0.000 [1 per cell]
2 Pt 0.543 0.500 0.100 [1 per cell]
3 Br 0.310 0.500 0.748 [1 per cell]
4 Br 0.668 0.000 0.370 [1 per cell]

Properties
mass density: 7.96 g cm⁻³

---

Arrangement x

The following is a DFT calculation (meta-GGA SCAN) of a crystal of CdPtBr2 relaxed with PBEsol.

a = 4.0499 Å, b = 4.0499 Å, c = 20.7531 Å
α = 90.00°, β = 90.00°, γ = 120.00°
Space group R3m (No. 160, hexagonal axes)
Asymmetric unit:
1 Cd 0.0000 0.0000 0.0000 [3 per cell]
2 Pt 0.0000 0.0000 0.7417 [3 per cell]
3 Br 0.0000 0.0000 0.2592 [3 per cell]
4 Br 0.0000 0.0000 0.4541 [3 per cell]

Properties
mass density: 7.90 g cm⁻³

---

Going by the computed energies, the most stable comes first: arrangement w, arrangement x.